First-principles (PBE) data for crystalline USnSb2 at its relaxed geometry, as listed in the Alexandria database.

Output
- Raw formation energy: 0.07 eV per atom
- Total magnetic moment: 2.010 μB/f.u.

Unit cell a=8.155 b=8.155 c=8.155 alpha=30.71 beta=30.71 gamma=30.71
Element x y z (fractional)
U 0.000 0.000 0.000
Sn 0.832 0.832 0.832
Sb 0.413 0.413 0.413
Sb 0.589 0.589 0.589

---

First-principles (PBE) data for crystalline USnSb at its relaxed geometry, as listed in the Alexandria database.

Output
- Raw formation energy: 0.01 eV per atom
- Total magnetic moment: 3.368 μB/f.u.

Unit cell a=5.870 b=5.870 c=5.870 alpha=141.54 beta=141.54 gamma=55.52
Element x y z (fractional)
U 0.000 0.000 0.000
Sn 0.322 0.322 0.000
Sb 0.667 0.667 0.000

---

First-principles (PBE) data for crystalline USnSb at its relaxed geometry, as listed in the Alexandria database.

Output
- Raw formation energy: -0.16 eV per atom
- Total magnetic moment: 1.801 μB/f.u.

Unit cell a=8.996 b=8.996 c=8.996 alpha=152.13 beta=152.13 gamma=39.83
Element x y z (fractional)
U 0.141 0.141 0.000
U 0.859 0.859 0.000
Sn 0.000 0.500 0.500
Sn 0.500 0.000 0.500
Sb 0.325 0.325 0.000
Sb 0.675 0.675 0.000